La2Ni4P3Pt | GGA-PBE | relaxed

Summary:
The value obtained for the formation enthalpy at 0 K is -0.86 eV/atom. The uncorrected energy is -6.389 eV per atom. The calculated volume comes out at 16.0 A^3/atom. As for the density of states at the Fermi level: 0.841 states/eV per atom.

a b c (Å): 4.0548 4.0548 9.7478
angles (deg): 90.00 90.00 90.00
Fractional coordinates of all 10 atoms:
La (0.0000, 0.5000, 0.2471)
La (0.5000, 0.0000, 0.7529)
Ni (0.0000, 0.0000, 0.0000)
Ni (0.0000, 0.5000, 0.6470)
Ni (0.5000, 0.0000, 0.3530)
Ni (0.5000, 0.5000, 0.0000)
P (0.0000, 0.5000, 0.8784)
P (0.5000, 0.0000, 0.1216)
P (0.5000, 0.5000, 0.5000)
Pt (0.0000, 0.0000, 0.5000)